The following is a PBE with a Hubbard U calculation of a relaxed structure of CaPaFe2O8, from the Alexandria database.

- SG: No. 119
- Total energy: -7.1738 eV per atom

Unit cell a=6.0101 b=6.0101 c=6.0101 alpha=107.38 beta=107.38 gamma=113.74
Last column: nearest neighbours and their distance in Å.
Element x y z (fractional)
1 Ca 0.2500 0.7500 0.5000  8 O 2.36-2.52
2 Pa 0.0000 0.0000 0.0000  8 O 2.18-2.42
3 Fe 0.7500 0.2500 0.5000  4 O 1.87
4 Fe 0.5000 0.5000 0.0000  4 O 1.72
5 O 0.3657 0.0658 0.2999  1 Fe 1.87
6 O 0.3172 0.4908 0.1736  1 Fe 1.72
7 O 0.3172 0.1436 0.8264  1 Fe 1.72
8 O 0.7659 0.0658 0.7001  1 Fe 1.87
9 O 0.8564 0.6828 0.1736  1 Fe 1.72
10 O 0.9342 0.2341 0.2999  1 Fe 1.87
11 O 0.9342 0.6343 0.7001  1 Fe 1.87
12 O 0.5092 0.6828 0.8264  1 Fe 1.72